# 1
Ni4GePt3: relaxed, PBE.

Values from the calculation:
The value obtained for the formation energy is -0.0869 eV per atom. The final energy is -5.820 eV per atom.

abc: 4.357 4.597 6.427
angles: 115.27 109.81 90.00
Each line ends with the local moment (μB).
Atoms (fractional coordinates):
Ni1 0.753 0.187 0.505  0.47
Ni2 0.247 0.813 0.495  0.47
Ni3 0.374 0.431 0.748  0.29
Ni4 0.626 0.569 0.252  0.29
Ge1 0.500 0.000 0.000  -0.01
Pt1 0.000 0.500 0.000  0.13
Pt2 0.865 0.829 0.731  0.10
Pt3 0.135 0.171 0.269  0.10

=====

# 2
Ni3Ge2Pt: relaxed, PBE.

Values from the calculation:
The value obtained for the formation energy is -0.2659 eV per atom. The final energy is -5.702 eV per atom.

abc: 3.773 8.875 8.265
angles: 116.34 90.00 102.27
Atoms (fractional coordinates):
Ni1 0.044 0.087 0.344
Ni2 0.956 0.913 0.656
Ni3 0.200 0.401 0.419
Ni4 0.800 0.599 0.581
Ni5 0.614 0.229 0.189
Ni6 0.386 0.771 0.811
Ni7 0.500 0.000 0.500
Ni8 0.304 0.607 0.032
Ni9 0.696 0.393 0.968
Ge1 0.192 0.383 0.132
Ge2 0.808 0.617 0.868
Ge3 0.456 0.913 0.167
Ge4 0.544 0.087 0.833
Ge5 0.351 0.701 0.477
Ge6 0.649 0.299 0.523
Pt1 0.122 0.243 0.703
Pt2 0.878 0.757 0.297
Pt3 0.000 0.000 0.000

=====

final energy of number 1 (Ni4GePt3)? -5.820 eV per atom